First-principles (PBE-GGA) data for a geometry-optimized Mg2ZnHIr structure, as listed in Alexandria via LeMat-Bulk.

Lattice parameters (Å, degrees): 4.127 4.127 3.843 90.00 90.00 90.00
Fractional coordinates of all 5 atoms:
H 0.000 0.000 0.000
Zn 0.000 0.000 0.500
Ir 0.500 0.500 0.500
Mg 0.000 0.500 0.000
Mg 0.500 0.000 0.000

Results
energy above the lowest structure with this stoichiometry = 0.070 eV/atom
symmetry = P4/mmm

=====

First-principles (PBE-GGA) data for a geometry-optimized MgZnH6Ir2 structure, as listed in Alexandria via LeMat-Bulk.

Lattice parameters (Å, degrees): 4.839 4.839 5.426 63.52 63.52 60.00
Fractional coordinates of all 10 atoms:
Mg 0.500 0.500 0.500
Zn 0.000 0.000 0.000
H 0.006 0.582 0.815
H 0.597 0.006 0.815
H 0.418 0.403 0.185
H 0.994 0.418 0.185
H 0.403 0.994 0.185
H 0.582 0.597 0.815
Ir 0.808 0.808 0.575
Ir 0.192 0.192 0.425

Results
symmetry = R-3

=====

First-principles (PBE-GGA) data for a geometry-optimized MgZn2HIr structure, as listed in Alexandria via LeMat-Bulk.

Lattice parameters (Å, degrees): 4.168 4.168 3.697 90.00 90.00 90.00
Fractional coordinates of all 5 atoms:
H 0.000 0.000 0.000
Zn 0.000 0.500 0.000
Zn 0.500 0.000 0.000
Ir 0.000 0.000 0.500
Mg 0.500 0.500 0.500

Results
energy above the lowest structure with this stoichiometry = 0.022 eV/atom
symmetry = P4/mmm

=====

First-principles (PBE-GGA) data for a geometry-optimized MgZn2HIr structure, as listed in Alexandria via LeMat-Bulk.

Lattice parameters (Å, degrees): 3.953 3.953 3.962 90.00 90.00 90.00
Fractional coordinates of all 5 atoms:
H 0.000 0.000 0.000
Zn 0.000 0.500 0.000
Zn 0.500 0.000 0.000
Ir 0.500 0.500 0.500
Mg 0.000 0.000 0.500

Results
energy above the lowest structure with this stoichiometry = 0.000 eV/atom
symmetry = P4/mmm

=====

Number 1: total moment 0.0000 μB per atom, V 13.1 A^3/atom, energy -3.481 eV/atom. Number 2: total moment 0.0000 μB per atom, V 9.4 A^3/atom, energy -4.054 eV/atom. Number 3: total moment 0.0000 μB per atom, V 12.8 A^3/atom, energy -3.306 eV/atom. Number 4: total moment 0.0000 μB per atom, V 12.4 A^3/atom, energy -3.328 eV/atom.